# 1
Compound: Ba3V5O12
Source: the Alexandria database
Functional: PBE with a Hubbard U
Structure: optimized geometry

Values from the calculation:
- crystal system = cubic
- density of states at the Fermi level (states/eV/atom) = 0.3910
- space group = Ia-3d, No. 230
- E_tot (eV for the cell shown) = -591.06
- M_tot (μB/f.u.) = 7.00

CIF file:
```
data_Ba3V5O12
_symmetry_space_group_name_H-M 'P 1'
_symmetry_Int_Tables_number 1
_symmetry_space_group_name_Hall 'P 1'
_cell_length_a 11.591
_cell_length_b 11.591
_cell_length_c 11.591
_cell_angle_alpha 109.47
_cell_angle_beta 109.47
_cell_angle_gamma 109.47
loop_
_atom_site_label
_atom_site_type_symbol
_atom_site_fract_x
_atom_site_fract_y
_atom_site_fract_z
Ba1 Ba 0.125 0.250 0.375
Ba2 Ba 0.125 0.375 0.750
Ba3 Ba 0.250 0.375 0.125
Ba4 Ba 0.250 0.875 0.625
Ba5 Ba 0.375 0.125 0.250
Ba6 Ba 0.375 0.750 0.125
Ba7 Ba 0.625 0.250 0.875
Ba8 Ba 0.625 0.875 0.750
Ba9 Ba 0.750 0.125 0.375
Ba10 Ba 0.750 0.625 0.875
Ba11 Ba 0.875 0.625 0.250
Ba12 Ba 0.875 0.750 0.625
V1 V 0.000 0.000 0.000
V2 V 0.000 0.000 0.500
V3 V 0.000 0.500 0.000
V4 V 0.000 0.500 0.500
V5 V 0.125 0.750 0.875
V6 V 0.125 0.875 0.250
V7 V 0.250 0.125 0.875
V8 V 0.250 0.625 0.375
V9 V 0.375 0.250 0.625
V10 V 0.375 0.625 0.750
V11 V 0.500 0.000 0.000
V12 V 0.500 0.000 0.500
V13 V 0.500 0.500 0.000
V14 V 0.500 0.500 0.500
V15 V 0.625 0.375 0.250
V16 V 0.625 0.750 0.375
V17 V 0.750 0.375 0.625
V18 V 0.750 0.875 0.125
V19 V 0.875 0.125 0.750
V20 V 0.875 0.250 0.125
O1 O 0.002 0.695 0.112
O2 O 0.002 0.807 0.890
O3 O 0.083 0.693 0.695
O4 O 0.083 0.890 0.388
O5 O 0.110 0.612 0.917
O6 O 0.110 0.998 0.193
O7 O 0.112 0.002 0.695
O8 O 0.112 0.610 0.417
O9 O 0.193 0.110 0.998
O10 O 0.193 0.583 0.195
O11 O 0.195 0.193 0.583
O12 O 0.195 0.502 0.612
O13 O 0.305 0.888 0.998
O14 O 0.305 0.917 0.307
O15 O 0.307 0.305 0.917
O16 O 0.307 0.502 0.390
O17 O 0.388 0.083 0.890
O18 O 0.388 0.805 0.498
O19 O 0.390 0.307 0.502
O20 O 0.390 0.583 0.888
O21 O 0.417 0.112 0.610
O22 O 0.417 0.805 0.807
O23 O 0.498 0.388 0.805
O24 O 0.498 0.610 0.693
O25 O 0.502 0.390 0.307
O26 O 0.502 0.612 0.195
O27 O 0.583 0.195 0.193
O28 O 0.583 0.888 0.390
O29 O 0.610 0.417 0.112
O30 O 0.610 0.693 0.498
O31 O 0.612 0.195 0.502
O32 O 0.612 0.917 0.110
O33 O 0.693 0.498 0.610
O34 O 0.693 0.695 0.083
O35 O 0.695 0.083 0.693
O36 O 0.695 0.112 0.002
O37 O 0.805 0.498 0.388
O38 O 0.805 0.807 0.417
O39 O 0.807 0.417 0.805
O40 O 0.807 0.890 0.002
O41 O 0.888 0.390 0.583
O42 O 0.888 0.998 0.305
O43 O 0.890 0.002 0.807
O44 O 0.890 0.388 0.083
O45 O 0.917 0.110 0.612
O46 O 0.917 0.307 0.305
O47 O 0.998 0.193 0.110
O48 O 0.998 0.305 0.888
```

# 2
Compound: BaVO3
Source: the Alexandria database
Functional: PBE with a Hubbard U
Structure: optimized geometry

Values from the calculation:
- crystal system = trigonal
- density of states at the Fermi level (states/eV/atom) = 0.2345
- space group = P-3m1, No. 164
- E_tot (eV for the cell shown) = -181.28
- M_tot (μB/f.u.) = 1.00

CIF file:
```
data_BaVO3
_symmetry_space_group_name_H-M 'P 1'
_symmetry_Int_Tables_number 1
_symmetry_space_group_name_Hall 'P 1'
_cell_length_a 5.776
_cell_length_b 5.776
_cell_length_c 11.739
_cell_angle_alpha 90.00
_cell_angle_beta 90.00
_cell_angle_gamma 120.00
loop_
_atom_site_label
_atom_site_type_symbol
_atom_site_fract_x
_atom_site_fract_y
_atom_site_fract_z
Ba1 Ba 0.000 0.000 0.000
Ba2 Ba 0.333 0.667 0.406
Ba3 Ba 0.333 0.667 0.790
Ba4 Ba 0.667 0.333 0.210
Ba5 Ba 0.667 0.333 0.594
V1 V 0.000 0.000 0.277
V2 V 0.000 0.000 0.500
V3 V 0.000 0.000 0.723
V4 V 0.333 0.667 0.092
V5 V 0.667 0.333 0.908
O1 O 0.000 0.500 0.000
O2 O 0.150 0.300 0.600
O3 O 0.150 0.850 0.600
O4 O 0.167 0.333 0.200
O5 O 0.167 0.833 0.200
O6 O 0.300 0.150 0.400
O7 O 0.333 0.167 0.800
O8 O 0.500 0.000 0.000
O9 O 0.500 0.500 0.000
O10 O 0.667 0.833 0.200
O11 O 0.700 0.850 0.600
O12 O 0.833 0.167 0.800
O13 O 0.833 0.667 0.800
O14 O 0.850 0.150 0.400
O15 O 0.850 0.700 0.400
```

# 3
Compound: BaV13O18
Source: the Alexandria database
Functional: PBE with a Hubbard U
Structure: optimized geometry

Values from the calculation:
- crystal system = triclinic
- density of states at the Fermi level (states/eV/atom) = 0.0162
- space group = P1, No. 1
- E_tot (eV for the cell shown) = -251.14
- M_tot (μB/f.u.) = 31.00

CIF file:
```
data_BaV13O18
_symmetry_space_group_name_H-M 'P 1'
_symmetry_Int_Tables_number 1
_symmetry_space_group_name_Hall 'P 1'
_cell_length_a 7.400
_cell_length_b 7.925
_cell_length_c 8.020
_cell_angle_alpha 111.32
_cell_angle_beta 106.05
_cell_angle_gamma 108.59
loop_
_atom_site_label
_atom_site_type_symbol
_atom_site_fract_x
_atom_site_fract_y
_atom_site_fract_z
Ba1 Ba 0.000 0.000 0.000
V1 V 0.078 0.196 0.507
V2 V 0.115 0.690 0.197
V3 V 0.232 0.638 0.572
V4 V 0.343 0.587 0.942
V5 V 0.393 0.046 0.632
V6 V 0.426 0.503 0.299
V7 V 0.496 0.995 0.998
V8 V 0.566 0.496 0.691
V9 V 0.601 0.959 0.371
V10 V 0.645 0.424 0.058
V11 V 0.762 0.362 0.422
V12 V 0.878 0.314 0.803
V13 V 0.916 0.806 0.490
O1 O 0.057 0.456 0.669
O2 O 0.111 0.943 0.377
O3 O 0.151 0.435 0.046
O4 O 0.210 0.890 0.734
O5 O 0.276 0.383 0.442
O6 O 0.322 0.845 0.112
O7 O 0.382 0.329 0.781
O8 O 0.386 0.773 0.439
O9 O 0.486 0.259 0.165
O10 O 0.511 0.736 0.824
O11 O 0.610 0.233 0.563
O12 O 0.614 0.682 0.216
O13 O 0.667 0.165 0.896
O14 O 0.714 0.616 0.556
O15 O 0.782 0.103 0.264
O16 O 0.832 0.562 0.947
O17 O 0.888 0.067 0.623
O18 O 0.938 0.546 0.322
```

# 4
Compound: BaV8O16
Source: the Alexandria database
Functional: PBE with a Hubbard U
Structure: optimized geometry

Values from the calculation:
- crystal system = triclinic
- space group = P-1, No. 2
- E_tot (eV for the cell shown) = -194.47
- M_tot (μB/f.u.) = 10.00

CIF file:
```
data_BaV8O16
_symmetry_space_group_name_H-M 'P 1'
_symmetry_Int_Tables_number 1
_symmetry_space_group_name_Hall 'P 1'
_cell_length_a 6.021
_cell_length_b 7.266
_cell_length_c 7.365
_cell_angle_alpha 85.97
_cell_angle_beta 77.14
_cell_angle_gamma 78.52
loop_
_atom_site_label
_atom_site_type_symbol
_atom_site_fract_x
_atom_site_fract_y
_atom_site_fract_z
Ba1 Ba 0.000 0.000 0.000
V1 V 0.072 0.517 0.179
V2 V 0.169 0.819 0.502
V3 V 0.336 0.185 0.484
V4 V 0.423 0.480 0.815
V5 V 0.577 0.520 0.185
V6 V 0.664 0.815 0.516
V7 V 0.831 0.181 0.498
V8 V 0.928 0.483 0.821
O1 O 0.021 0.286 0.631
O2 O 0.149 0.044 0.357
O3 O 0.152 0.629 0.698
O4 O 0.160 0.350 0.956
O5 O 0.311 0.640 0.046
O6 O 0.327 0.373 0.304
O7 O 0.345 0.953 0.639
O8 O 0.479 0.710 0.377
O9 O 0.521 0.290 0.623
O10 O 0.655 0.047 0.361
O11 O 0.673 0.627 0.696
O12 O 0.689 0.360 0.954
O13 O 0.840 0.650 0.044
O14 O 0.848 0.371 0.302
O15 O 0.851 0.956 0.643
O16 O 0.979 0.714 0.369
```

# 5
Compound: Ba3VO4
Source: the Alexandria database
Functional: PBE with a Hubbard U
Structure: optimized geometry

Values from the calculation:
- crystal system = orthorhombic
- space group = Pnma, No. 62
- E_tot (eV for the cell shown) = -201.76
- M_tot (μB/f.u.) = 1.00

CIF file:
```
data_Ba3VO4
_symmetry_space_group_name_H-M 'P 1'
_symmetry_Int_Tables_number 1
_symmetry_space_group_name_Hall 'P 1'
_cell_length_a 7.740
_cell_length_b 9.355
_cell_length_c 8.539
_cell_angle_alpha 90.00
_cell_angle_beta 90.00
_cell_angle_gamma 90.00
loop_
_atom_site_label
_atom_site_type_symbol
_atom_site_fract_x
_atom_site_fract_y
_atom_site_fract_z
Ba1 Ba 0.003 0.027 0.239
Ba2 Ba 0.003 0.473 0.239
Ba3 Ba 0.223 0.250 0.542
Ba4 Ba 0.277 0.750 0.042
Ba5 Ba 0.497 0.527 0.739
Ba6 Ba 0.497 0.973 0.739
Ba7 Ba 0.503 0.027 0.261
Ba8 Ba 0.503 0.473 0.261
Ba9 Ba 0.723 0.250 0.958
Ba10 Ba 0.777 0.750 0.458
Ba11 Ba 0.997 0.527 0.761
Ba12 Ba 0.997 0.973 0.761
V1 V 0.223 0.750 0.503
V2 V 0.277 0.250 0.003
V3 V 0.723 0.750 0.997
V4 V 0.777 0.250 0.497
O1 O 0.102 0.750 0.311
O2 O 0.239 0.250 0.227
O3 O 0.245 0.531 0.503
O4 O 0.245 0.969 0.503
O5 O 0.255 0.031 0.003
O6 O 0.255 0.469 0.003
O7 O 0.261 0.750 0.727
O8 O 0.398 0.250 0.811
O9 O 0.602 0.750 0.189
O10 O 0.739 0.250 0.273
O11 O 0.745 0.531 0.997
O12 O 0.745 0.969 0.997
O13 O 0.755 0.031 0.497
O14 O 0.755 0.469 0.497
O15 O 0.761 0.750 0.773
O16 O 0.898 0.250 0.689
```